# PBE Ce2ZnRh3, relaxed
# energy relative to the lowest polymorph listed for this composition	0	meV/atom
# energy relative to the elements	-0.716	eV per atom
data_Ce2ZnRh3
_chemical_formula_sum 'Ce2 Zn1 Rh3'
_cell_length_a 5.1300
_cell_length_b 5.1300
_cell_length_c 5.1300
_cell_angle_alpha 66.67
_cell_angle_beta 66.67
_cell_angle_gamma 66.67
_symmetry_space_group_name_H-M 'P 1'
_symmetry_Int_Tables_number 1
loop_
_symmetry_equiv_pos_as_xyz
'x,y,z'
loop_
_atom_site_label
_atom_site_type_symbol
_atom_site_fract_x
_atom_site_fract_y
_atom_site_fract_z
Ce1 Ce 0.3717 0.3717 0.3717
Ce2 Ce 0.6283 0.6283 0.6283
Zn1 Zn 0.0000 0.0000 0.0000
Rh1 Rh 0.0000 0.0000 0.5000
Rh2 Rh 0.5000 0.0000 0.0000
Rh3 Rh 0.0000 0.5000 0.0000

---

# PBE CeZn2Rh, relaxed
# energy relative to the elements	-0.326	eV per atom
data_CeZn2Rh
_chemical_formula_sum 'Ce1 Zn2 Rh1'
_cell_length_a 4.3456
_cell_length_b 4.3456
_cell_length_c 5.4343
_cell_angle_alpha 66.43
_cell_angle_beta 66.43
_cell_angle_gamma 60.00
_symmetry_space_group_name_H-M 'P 1'
_symmetry_Int_Tables_number 1
loop_
_symmetry_equiv_pos_as_xyz
'x,y,z'
loop_
_atom_site_label
_atom_site_type_symbol
_atom_site_fract_x
_atom_site_fract_y
_atom_site_fract_z
Zn1 Zn 0.7902 0.7902 0.6294
Zn2 Zn 0.2098 0.2098 0.3706
Rh1 Rh 0.5000 0.5000 0.5000
Ce1 Ce 0.0000 0.0000 0.0000

---

# PBE Ce12ZnRh6, relaxed
# energy relative to the elements	-0.298	eV per atom
data_Ce12ZnRh6
_chemical_formula_sum 'Ce12 Zn1 Rh6'
_cell_length_a 8.0912
_cell_length_b 8.0912
_cell_length_c 8.0912
_cell_angle_alpha 97.17
_cell_angle_beta 97.17
_cell_angle_gamma 97.17
_symmetry_space_group_name_H-M 'P 1'
_symmetry_Int_Tables_number 1
loop_
_symmetry_equiv_pos_as_xyz
'x,y,z'
loop_
_atom_site_label
_atom_site_type_symbol
_atom_site_fract_x
_atom_site_fract_y
_atom_site_fract_z
Ce1 Ce 0.8124 0.5908 0.4252
Ce2 Ce 0.4252 0.8124 0.5908
Ce3 Ce 0.5908 0.4252 0.8124
Ce4 Ce 0.1876 0.4092 0.5748
Ce5 Ce 0.5748 0.1876 0.4092
Ce6 Ce 0.4092 0.5748 0.1876
Ce7 Ce 0.0649 0.9696 0.3489
Ce8 Ce 0.0304 0.6511 0.9351
Ce9 Ce 0.6511 0.9351 0.0304
Ce10 Ce 0.9351 0.0304 0.6511
Ce11 Ce 0.9696 0.3489 0.0649
Ce12 Ce 0.3489 0.0649 0.9696
Zn1 Zn 0.0000 0.0000 0.0000
Rh1 Rh 0.6708 0.8732 0.3662
Rh2 Rh 0.6338 0.3292 0.1268
Rh3 Rh 0.1268 0.6338 0.3292
Rh4 Rh 0.3292 0.1268 0.6338
Rh5 Rh 0.3662 0.6708 0.8732
Rh6 Rh 0.8732 0.3662 0.6708

---

# PBE CeZn3Rh4, relaxed
# energy relative to the elements	-0.541	eV per atom
data_CeZn3Rh4
_chemical_formula_sum 'Ce1 Zn3 Rh4'
_cell_length_a 4.4440
_cell_length_b 4.4440
_cell_length_c 7.6932
_cell_angle_alpha 73.21
_cell_angle_beta 73.21
_cell_angle_gamma 60.00
_symmetry_space_group_name_H-M 'P 1'
_symmetry_Int_Tables_number 1
loop_
_symmetry_equiv_pos_as_xyz
'x,y,z'
loop_
_atom_site_label
_atom_site_type_symbol
_atom_site_fract_x
_atom_site_fract_y
_atom_site_fract_z
Zn1 Zn 0.2453 0.2453 0.2640
Zn2 Zn 0.7547 0.7547 0.7360
Zn3 Zn 0.5000 0.5000 0.5000
Rh1 Rh 0.8745 0.8745 0.3764
Rh2 Rh 0.3816 0.3816 0.8551
Rh3 Rh 0.1255 0.1255 0.6236
Rh4 Rh 0.6184 0.6184 0.1449
Ce1 Ce 0.0000 0.0000 0.0000

---

# PBE Ce8Zn2Rh3, relaxed
# energy relative to the elements	-0.275	eV per atom
data_Ce8Zn2Rh3
_chemical_formula_sum 'Ce8 Zn2 Rh3'
_cell_length_a 5.3224
_cell_length_b 8.9356
_cell_length_c 7.9980
_cell_angle_alpha 123.96
_cell_angle_beta 97.01
_cell_angle_gamma 90.00
_symmetry_space_group_name_H-M 'P 1'
_symmetry_Int_Tables_number 1
loop_
_symmetry_equiv_pos_as_xyz
'x,y,z'
loop_
_atom_site_label
_atom_site_type_symbol
_atom_site_fract_x
_atom_site_fract_y
_atom_site_fract_z
Ce1 Ce 0.9074 0.6410 0.2820
Ce2 Ce 0.0926 0.3590 0.7180
Ce3 Ce 0.0185 0.1335 0.2669
Ce4 Ce 0.9815 0.8665 0.7331
Ce5 Ce 0.4802 0.6008 0.7849
Ce6 Ce 0.4802 0.1841 0.7849
Ce7 Ce 0.5198 0.8159 0.2151
Ce8 Ce 0.5198 0.3992 0.2151
Zn1 Zn 0.5525 0.2257 0.4514
Zn2 Zn 0.4475 0.7743 0.5486
Rh1 Rh 0.5000 0.0000 0.0000
Rh2 Rh 0.0000 0.2431 0.0000
Rh3 Rh 0.0000 0.7569 0.0000

---

# PBE Ce2Zn16Rh, relaxed
# energy relative to the elements	-0.262	eV per atom
data_Ce2Zn16Rh
_chemical_formula_sum 'Ce2 Zn16 Rh1'
_cell_length_a 6.8150
_cell_length_b 6.8150
_cell_length_c 6.8150
_cell_angle_alpha 83.04
_cell_angle_beta 83.04
_cell_angle_gamma 83.04
_symmetry_space_group_name_H-M 'P 1'
_symmetry_Int_Tables_number 1
loop_
_symmetry_equiv_pos_as_xyz
'x,y,z'
loop_
_atom_site_label
_atom_site_type_symbol
_atom_site_fract_x
_atom_site_fract_y
_atom_site_fract_z
Ce1 Ce 0.6710 0.6710 0.6710
Ce2 Ce 0.3413 0.3413 0.3413
Zn1 Zn 0.7114 0.9985 0.2854
Zn2 Zn 0.9985 0.2854 0.7114
Zn3 Zn 0.2854 0.7114 0.9985
Zn4 Zn 0.9985 0.7114 0.2854
Zn5 Zn 0.7114 0.2854 0.9985
Zn6 Zn 0.2854 0.9985 0.7114
Zn7 Zn 0.3551 0.8397 0.3551
Zn8 Zn 0.8397 0.3551 0.3551
Zn9 Zn 0.3551 0.3551 0.8397
Zn10 Zn 0.6503 0.1553 0.6503
Zn11 Zn 0.1553 0.6503 0.6503
Zn12 Zn 0.6503 0.6503 0.1553
Zn13 Zn 0.9980 0.5019 0.9980
Zn14 Zn 0.5019 0.9980 0.9980
Zn15 Zn 0.9980 0.9980 0.5019
Zn16 Zn 0.1002 0.1002 0.1002
Rh1 Rh 0.8937 0.8937 0.8937

---

# PBE Ce2ZnRh, relaxed
# energy relative to the elements	0.008	eV per atom
data_Ce2ZnRh
_chemical_formula_sum 'Ce2 Zn1 Rh1'
_cell_length_a 3.8444
_cell_length_b 3.8444
_cell_length_c 9.9429
_cell_angle_alpha 78.85
_cell_angle_beta 78.85
_cell_angle_gamma 60.00
_symmetry_space_group_name_H-M 'P 1'
_symmetry_Int_Tables_number 1
loop_
_symmetry_equiv_pos_as_xyz
'x,y,z'
loop_
_atom_site_label
_atom_site_type_symbol
_atom_site_fract_x
_atom_site_fract_y
_atom_site_fract_z
Zn1 Zn 0.0000 0.0000 0.0000
Rh1 Rh 0.5000 0.5000 0.5000
Ce1 Ce 0.1091 0.1091 0.6727
Ce2 Ce 0.8909 0.8909 0.3273

---

# PBE Ce3Zn8Rh, relaxed
# energy relative to the elements	-0.258	eV per atom
data_Ce3Zn8Rh
_chemical_formula_sum 'Ce3 Zn8 Rh1'
_cell_length_a 5.3691
_cell_length_b 5.3691
_cell_length_c 9.2746
_cell_angle_alpha 73.17
_cell_angle_beta 73.17
_cell_angle_gamma 60.00
_symmetry_space_group_name_H-M 'P 1'
_symmetry_Int_Tables_number 1
loop_
_symmetry_equiv_pos_as_xyz
'x,y,z'
loop_
_atom_site_label
_atom_site_type_symbol
_atom_site_fract_x
_atom_site_fract_y
_atom_site_fract_z
Ce1 Ce 0.3755 0.3755 0.8735
Ce2 Ce 0.9995 0.9995 0.0014
Ce3 Ce 0.5005 0.5005 0.4984
Zn1 Zn 0.9337 0.4355 0.1952
Zn2 Zn 0.4492 0.9376 0.6756
Zn3 Zn 0.4355 0.4355 0.1952
Zn4 Zn 0.9376 0.9376 0.6756
Zn5 Zn 0.1893 0.1893 0.4321
Zn6 Zn 0.6868 0.6868 0.9397
Zn7 Zn 0.4355 0.9337 0.1952
Zn8 Zn 0.9376 0.4492 0.6756
Rh1 Rh 0.8691 0.8691 0.3926

---

# PBE Ce5ZnRh6, relaxed
# energy relative to the elements	-0.677	eV per atom
data_Ce5ZnRh6
_chemical_formula_sum 'Ce5 Zn1 Rh6'
_cell_length_a 7.7575
_cell_length_b 5.3524
_cell_length_c 7.2163
_cell_angle_alpha 68.23
_cell_angle_beta 79.76
_cell_angle_gamma 61.36
_symmetry_space_group_name_H-M 'P 1'
_symmetry_Int_Tables_number 1
loop_
_symmetry_equiv_pos_as_xyz
'x,y,z'
loop_
_atom_site_label
_atom_site_type_symbol
_atom_site_fract_x
_atom_site_fract_y
_atom_site_fract_z
Ce1 Ce 0.5000 0.1763 0.6475
Ce2 Ce 0.0000 0.3566 0.2869
Ce3 Ce 0.5000 0.5000 0.0000
Ce4 Ce 0.0000 0.6434 0.7131
Ce5 Ce 0.5000 0.8237 0.3525
Zn1 Zn 0.0000 0.0000 0.0000
Rh1 Rh 0.7807 0.0130 0.3449
Rh2 Rh 0.2193 0.6421 0.3449
Rh3 Rh 0.2809 0.1361 0.0000
Rh4 Rh 0.7191 0.8639 0.0000
Rh5 Rh 0.7807 0.3579 0.6551
Rh6 Rh 0.2193 0.9870 0.6551

---

# PBE Ce2ZnRh, relaxed
# energy relative to the elements	-0.406	eV per atom
data_Ce2ZnRh
_chemical_formula_sum 'Ce2 Zn1 Rh1'
_cell_length_a 4.1235
_cell_length_b 4.5178
_cell_length_c 4.5178
_cell_angle_alpha 90.00
_cell_angle_beta 90.00
_cell_angle_gamma 90.00
_symmetry_space_group_name_H-M 'P 1'
_symmetry_Int_Tables_number 1
loop_
_symmetry_equiv_pos_as_xyz
'x,y,z'
loop_
_atom_site_label
_atom_site_type_symbol
_atom_site_fract_x
_atom_site_fract_y
_atom_site_fract_z
Zn1 Zn 0.5000 0.0000 0.0000
Rh1 Rh 0.5000 0.5000 0.5000
Ce1 Ce 0.0000 0.0000 0.5000
Ce2 Ce 0.0000 0.5000 0.0000